Entry 1:
Entry from the Alexandria database: a relaxed Li5Nd3Au2 crystal (PBE).

Output
N(E_F): 0.860 states/eV per atom
Space group: No. 72
Crystal system: orthorhombic
DFT formation energy: -0.226 eV/atom
Magnetic moment: 0.00 μB per formula unit

Lattice parameters (Å, degrees): 6.037 9.389 9.389 90.11 71.25 71.25
Fractional coordinates of all 20 atoms:
Li (0.250, 0.500, 0.500)
Li (0.750, 0.500, 0.500)
Li (0.506, 0.744, 0.744)
Li (0.994, 0.256, 0.256)
Li (0.494, 0.256, 0.256)
Li (0.006, 0.744, 0.744)
Li (0.134, 0.508, 0.223)
Li (0.866, 0.492, 0.777)
Li (0.634, 0.223, 0.508)
Li (0.366, 0.777, 0.492)
Nd (0.250, 0.000, 0.000)
Nd (0.750, 0.000, 0.000)
Nd (0.383, 0.364, 0.870)
Nd (0.617, 0.636, 0.130)
Nd (0.883, 0.870, 0.364)
Nd (0.117, 0.130, 0.636)
Au (0.147, 0.694, 0.012)
Au (0.853, 0.306, 0.988)
Au (0.647, 0.012, 0.694)
Au (0.353, 0.988, 0.306)



Entry 2:
Entry from the Alexandria database: a relaxed YCoMo2 crystal (PBE).

Output
N(E_F): 1.202 states/eV per atom
Space group: No. 12
Crystal system: monoclinic
DFT formation energy: 0.472 eV/atom
Magnetic moment: 0.91 μB per formula unit
E above lowest polymorph: 276 meV/atom

Lattice parameters (Å, degrees): 5.483 5.483 2.837 80.66 80.66 122.08
Site moments in Bohr magnetons follow the coordinates.
Fractional coordinates of all 4 atoms:
Co (0.000, 0.500, 0.500)  1.05
Mo (0.000, 0.000, 0.000)  0.02
Mo (0.500, 0.500, 0.000)  0.02
Y (0.500, 0.000, 0.500)  -0.09



Number 1: total DFT energy (no corrections) -3.269 eV/atom. Number 2: total DFT energy (no corrections) -8.336 eV/atom.